Pm2LuNi (PBE, relaxed); space group = P4/mmm; D(E_F) = 1.472 states/eV/atom; distance to the lowest polymorph of the same formula = 0.000 eV per atom
1.0
-0.095 1.884 -3.007
-1.679 -2.674 -1.623
-7.461 3.289 2.297
Ni Lu Pm
1 1 2
Direct
0.500 0.500 0.000
0.500 0.500 0.500
0.000 0.000 0.805
0.000 0.000 0.195